This record from the Alexandria database describes HfTlFe2O6 after structural relaxation. The functional is PBE+U.

The space group is P1 (No. 1) and the conventional cell measures 5.4210, 5.4464 and 5.6981 Å, with angles of 117.58, 90.83 and 119.59 degrees. The distinct sites, in fractional coordinates, are Hf at (0.0000, 0.0000, 0.0000), Tl at (0.4910, 0.9835, 0.4736), Fe at (0.2122, 0.4262, 0.6335), Fe at (0.7122, 0.4281, 0.1292), O at (0.0800, 0.4835, 0.3145), O at (0.2974, 0.2383, 0.8347), O at (0.3989, 0.2441, 0.3247), O at (0.5958, 0.8837, 0.8223), O at (0.8447, 0.9342, 0.3256) and O at (0.9467, 0.5474, 0.8265).

The value obtained for the total energy is -71.551 eV per cell.